This record from the Alexandria database describes a relaxed MnGe3 crystal. The functional is PBE.

Computed properties:
* SG: No. 221
* crystal system: cubic
* energy of formation from the pure elements: 273 meV per atom
* total energy: -5.482 eV per atom

Lattice parameters (Å, degrees): 4.1221 4.1221 4.1221 90.00 90.00 90.00
Element x y z (fractional)
1 Mn 0.0000 0.0000 0.0000
2 Ge 0.0000 0.5000 0.5000
3 Ge 0.5000 0.0000 0.5000
4 Ge 0.5000 0.5000 0.0000